No. 1
{"formula": "PtI3Cl", "functional": "PBE", "state": "optimized geometry", "polymorph_energy_mev_per_atom": 448, "crystal_system": "cubic", "total_magnetization_mub_per_cell": 1.21, "raw_formation_energy_mev_per_atom": 252, "lattice": [[5.473, 0.000, 0.000], [0.000, 5.473, 0.000], [0.000, 0.000, 5.473]], "species": ["Pt", "I", "I", "I", "Cl"], "fractional_positions": [[0.000, 0.000, 0.000], [0.000, 0.000, 0.500], [0.000, 0.500, 0.000], [0.500, 0.000, 0.000], [0.500, 0.500, 0.500]]}

---

No. 2
{"formula": "K5Te2H4", "functional": "PBE", "state": "optimized geometry", "crystal_system": "monoclinic", "total_magnetization_mub_per_cell": 0.00, "total_energy_ev_per_atom": -2.701, "lattice": [[6.507, -3.601, 0.000], [6.507, 3.601, 0.000], [-3.613, 0.000, 6.571]], "species": ["K", "K", "K", "K", "K", "Te", "Te", "H", "H", "H", "H"], "fractional_positions": [[0.000, 0.000, 0.000], [0.056, 0.551, 0.268], [0.449, 0.944, 0.732], [0.551, 0.056, 0.268], [0.944, 0.449, 0.732], [0.455, 0.455, 0.740], [0.545, 0.545, 0.260], [0.000, 0.000, 0.449], [0.000, 0.000, 0.551], [0.186, 0.186, 0.977], [0.814, 0.814, 0.023]]}

---

No. 3
{"formula": "Th3Si2Ni6", "functional": "PBE", "state": "optimized geometry", "crystal_system": "cubic", "total_magnetization_mub_per_cell": 0.00, "raw_formation_energy_mev_per_atom": -615, "lattice": [[-4.497, 4.497, 4.497], [4.497, -4.497, 4.497], [4.497, 4.497, -4.497]], "species": ["Th", "Th", "Th", "Th", "Th", "Th", "Si", "Si", "Si", "Si", "Ni", "Ni", "Ni", "Ni", "Ni", "Ni", "Ni", "Ni", "Ni", "Ni", "Ni", "Ni"], "fractional_positions": [[0.000, 0.291, 0.291], [0.000, 0.709, 0.709], [0.291, 0.000, 0.291], [0.291, 0.291, 0.000], [0.709, 0.000, 0.709], [0.709, 0.709, 0.000], [0.000, 0.000, 0.500], [0.000, 0.500, 0.000], [0.500, 0.000, 0.000], [0.500, 0.500, 0.500], [0.000, 0.331, 0.669], [0.000, 0.669, 0.331], [0.331, 0.000, 0.669], [0.331, 0.331, 0.662], [0.331, 0.662, 0.331], [0.331, 0.669, 0.000], [0.338, 0.669, 0.669], [0.662, 0.331, 0.331], [0.669, 0.000, 0.331], [0.669, 0.331, 0.000], [0.669, 0.338, 0.669], [0.669, 0.669, 0.338]]}

---

No. 4
{"formula": "Cs2HgTeSe", "functional": "PBE", "state": "optimized geometry", "polymorph_energy_mev_per_atom": 0, "crystal_system": "monoclinic", "total_magnetization_mub_per_cell": 0.00, "raw_formation_energy_mev_per_atom": -827, "lattice": [[8.899, 0.000, 0.000], [0.000, 4.788, 0.000], [-3.808, 0.000, 11.128]], "species": ["Cs", "Cs", "Cs", "Cs", "Hg", "Hg", "Te", "Te", "Se", "Se"], "fractional_positions": [[0.184, 0.250, 0.398], [0.219, 0.250, 0.962], [0.781, 0.750, 0.038], [0.816, 0.750, 0.602], [0.499, 0.250, 0.742], [0.501, 0.750, 0.258], [0.308, 0.750, 0.699], [0.692, 0.250, 0.301], [0.196, 0.750, 0.181], [0.804, 0.250, 0.819]]}